Entry 1:
Compound: MgBH
Source: Alexandria
Functional: PBE
Structure: optimized geometry Values from VASP.

Summary:
- Fermi-level density of states (states/eV/cell) = 0.2
- SG = Cm
- energy (eV for the cell shown) = -23.1

```
&SYSTEM
  ibrav = 0, nat = 6, ntyp = 3
/
ATOMIC_SPECIES
Mg 24.30 Mg.upf
B 10.81 B.upf
H 1.01 H.upf
ATOMIC_POSITIONS crystal
Mg 0.0000 0.0000 0.0000
Mg 0.6567 0.6567 0.5242
B 0.2554 0.2554 0.8734
B 0.7291 0.7291 0.0432
H 0.3596 0.3596 0.6990
H 0.8248 0.8248 0.2712
CELL_PARAMETERS angstrom
4.1766 -1.5665 0.0000
4.1766 1.5665 0.0000
-0.5659 0.0000 4.8434
```

=====

Entry 2:
Compound: Na3Tl3Au
Source: Alexandria
Functional: PBE
Structure: optimized geometry Values from VASP.

Summary:
- Fermi-level density of states (states/eV/cell) = 5.3
- SG = C2/m
- ΔH_f (0 K) (eV per atom) = -0.14

```
&SYSTEM
  ibrav = 0, nat = 14, ntyp = 3
/
ATOMIC_SPECIES
Na 22.99 Na.upf
Tl 204.38 Tl.upf
Au 196.97 Au.upf
ATOMIC_POSITIONS crystal
Na 0.0054 0.0054 0.1200
Na 0.1380 0.1380 0.4263
Na 0.2366 0.2366 0.7467
Na 0.7634 0.7634 0.2533
Na 0.8620 0.8620 0.5737
Na 0.9946 0.9946 0.8800
Tl 0.3475 0.3475 0.9663
Tl 0.4043 0.4043 0.4208
Tl 0.4980 0.4980 0.7261
Tl 0.5020 0.5020 0.2739
Tl 0.5957 0.5957 0.5792
Tl 0.6525 0.6525 0.0337
Au 0.3168 0.3168 0.1310
Au 0.6832 0.6832 0.8690
CELL_PARAMETERS angstrom
6.1967 -1.9233 0.0000
6.1967 1.9233 0.0000
-5.1349 0.0000 16.9959
```

=====

Entry 3:
Compound: Na4SrP2
Source: Alexandria
Functional: PBE
Structure: optimized geometry Values from VASP.

Summary:
- SG = P4_2/mnm
- ΔH_f (0 K) (eV per atom) = -0.47

```
&SYSTEM
  ibrav = 0, nat = 14, ntyp = 3
/
ATOMIC_SPECIES
Na 22.99 Na.upf
Sr 87.62 Sr.upf
P 30.97 P.upf
ATOMIC_POSITIONS crystal
Na 0.1001 0.3346 0.0000
Na 0.1654 0.6001 0.5000
Na 0.3346 0.1001 0.0000
Na 0.3999 0.8346 0.5000
Na 0.6001 0.1654 0.5000
Na 0.6654 0.8999 0.0000
Na 0.8346 0.3999 0.5000
Na 0.8999 0.6654 0.0000
Sr 0.0000 0.0000 0.5000
Sr 0.5000 0.5000 0.0000
P 0.2088 0.7912 0.0000
P 0.2912 0.2912 0.5000
P 0.7088 0.7088 0.5000
P 0.7912 0.2088 0.0000
CELL_PARAMETERS angstrom
8.5136 0.0000 0.0000
0.0000 8.5136 0.0000
0.0000 0.0000 4.7152
```

=====

Entry 4:
Compound: LiCePr2S4
Source: Alexandria
Functional: PBE
Structure: optimized geometry Values from VASP.

Summary:
- Fermi-level density of states (states/eV/cell) = 6.8
- SG = P2/m
- formation energy without anion corrections (eV/atom) = -1.898

```
&SYSTEM
  ibrav = 0, nat = 8, ntyp = 4
/
ATOMIC_SPECIES
Li 6.94 Li.upf
Ce 140.12 Ce.upf
Pr 140.91 Pr.upf
S 32.06 S.upf
ATOMIC_POSITIONS crystal
Li 0.0000 0.0000 0.0000
Ce 0.5000 0.5000 0.0000
Pr 0.0000 0.5000 0.5000
Pr 0.5000 0.0000 0.5000
S 0.2430 0.5000 0.2384
S 0.2475 0.0000 0.7608
S 0.7525 0.0000 0.2392
S 0.7570 0.5000 0.7616
CELL_PARAMETERS angstrom
6.9598 0.0000 0.0000
0.0000 4.0482 0.0000
-2.3392 0.0000 6.5999
```

=====

Entry 5:
Compound: CoP2Pt
Source: Alexandria
Functional: PBE
Structure: optimized geometry Values from VASP.

Summary:
- Fermi-level density of states (states/eV/cell) = 3.8
- SG = Fmmm
- ΔH_f (0 K) (eV per atom) = 0.04

```
&SYSTEM
  ibrav = 0, nat = 4, ntyp = 3
/
ATOMIC_SPECIES
Co 58.93 Co.upf
P 30.97 P.upf
Pt 195.08 Pt.upf
ATOMIC_POSITIONS crystal
Co 0.0000 0.0000 0.0000
P 0.0000 0.5000 0.5000
P 0.5000 0.0000 0.0000
Pt 0.5000 0.5000 0.5000
CELL_PARAMETERS angstrom
0.0000 2.7506 3.8980
2.6279 0.0000 3.8980
2.6279 2.7506 0.0000
```

=====

Entry 6:
Compound: PuCuIr
Source: Alexandria
Functional: PBE
Structure: optimized geometry Values from VASP.

Summary:
- Fermi-level density of states (states/eV/cell) = 7.4
- SG = P-6m2
- ΔH_f (0 K) (eV per atom) = -0.18

```
&SYSTEM
  ibrav = 0, nat = 3, ntyp = 3
/
ATOMIC_SPECIES
Pu 244.00 Pu.upf
Cu 63.55 Cu.upf
Ir 192.22 Ir.upf
ATOMIC_POSITIONS crystal
Pu 0.0000 0.0000 0.0000
Cu 0.3333 0.6667 0.5000
Ir 0.6667 0.3333 0.5000
CELL_PARAMETERS angstrom
4.4325 0.0000 0.0000
-2.2162 3.8386 0.0000
0.0000 0.0000 3.1843
```

=====

Entry 7:
Compound: SnHg2S2Br2
Source: Alexandria
Functional: PBE
Structure: optimized geometry Values from VASP.

Summary:
- Fermi-level density of states (states/eV/cell) = 0.0
- SG = P2_1/c
- formation energy without anion corrections (eV/atom) = -0.328

```
&SYSTEM
  ibrav = 0, nat = 28, ntyp = 4
/
ATOMIC_SPECIES
Sn 118.71 Sn.upf
Hg 200.59 Hg.upf
S 32.06 S.upf
Br 79.90 Br.upf
ATOMIC_POSITIONS crystal
Sn 0.2150 0.1041 0.4003
Sn 0.2150 0.3959 0.9003
Sn 0.7850 0.6041 0.0997
Sn 0.7850 0.8959 0.5997
Hg 0.1410 0.1364 0.7747
Hg 0.1410 0.3636 0.2747
Hg 0.2675 0.7061 0.3989
Hg 0.2675 0.7939 0.8989
Hg 0.7325 0.2061 0.1011
Hg 0.7325 0.2939 0.6011
Hg 0.8590 0.6364 0.7253
Hg 0.8590 0.8636 0.2253
S 0.0488 0.2330 0.4140
S 0.0488 0.2670 0.9140
S 0.2290 0.0055 0.6313
S 0.2290 0.4945 0.1313
S 0.7710 0.5055 0.8687
S 0.7710 0.9945 0.3687
S 0.9512 0.7330 0.0860
S 0.9512 0.7670 0.5860
Br 0.1668 0.5150 0.6751
Br 0.1668 0.9850 0.1751
Br 0.4310 0.1843 0.3489
Br 0.4310 0.3157 0.8489
Br 0.5690 0.6843 0.1511
Br 0.5690 0.8157 0.6511
Br 0.8332 0.0150 0.8249
Br 0.8332 0.4850 0.3249
CELL_PARAMETERS angstrom
10.1150 0.0000 0.0000
0.0000 13.2595 0.0000
-1.0082 0.0000 8.7366
```

=====

Entry 8:
Compound: Ce2AlSi
Source: Alexandria
Functional: PBE
Structure: optimized geometry Values from VASP.

Summary:
- Fermi-level density of states (states/eV/cell) = 7.7
- SG = P4/mmm
- formation energy without anion corrections (eV/atom) = -0.409

```
&SYSTEM
  ibrav = 0, nat = 4, ntyp = 3
/
ATOMIC_SPECIES
Ce 140.12 Ce.upf
Al 26.98 Al.upf
Si 28.09 Si.upf
ATOMIC_POSITIONS crystal
Ce 0.0000 0.0000 0.2198
Ce 0.0000 0.0000 0.7802
Al 0.5000 0.5000 0.5000
Si 0.5000 0.5000 0.0000
CELL_PARAMETERS angstrom
3.7971 0.0000 0.0000
0.0000 3.7971 0.0000
0.0000 0.0000 6.4449
```

=====

Entry 9:
Compound: Li6H12Pt
Source: Alexandria
Functional: PBE
Structure: optimized geometry Values from VASP.

Summary:
- Fermi-level density of states (states/eV/cell) = 4.1
- SG = R-3
- energy (eV for the cell shown) = -59.9

```
&SYSTEM
  ibrav = 0, nat = 19, ntyp = 3
/
ATOMIC_SPECIES
Li 6.94 Li.upf
H 1.01 H.upf
Pt 195.08 Pt.upf
ATOMIC_POSITIONS crystal
Li 0.1298 0.8080 0.6630
Li 0.1920 0.3370 0.8702
Li 0.3370 0.8702 0.1920
Li 0.6630 0.1298 0.8080
Li 0.8080 0.6630 0.1298
Li 0.8702 0.1920 0.3370
H 0.0305 0.9063 0.3442
H 0.0937 0.6558 0.9695
H 0.1928 0.4546 0.5018
H 0.3442 0.0305 0.9063
H 0.4546 0.5018 0.1928
H 0.4982 0.8072 0.5454
H 0.5018 0.1928 0.4546
H 0.5454 0.4982 0.8072
H 0.6558 0.9695 0.0937
H 0.8072 0.5454 0.4982
H 0.9063 0.3442 0.0305
H 0.9695 0.0937 0.6558
Pt 0.5000 0.5000 0.5000
CELL_PARAMETERS angstrom
3.9757 2.2954 2.8187
-3.9757 2.2954 2.8187
0.0000 -4.5907 2.8187
```

=====

Entry 10:
Compound: TmHgAu
Source: Alexandria
Functional: PBE
Structure: optimized geometry Values from VASP.

Summary:
- Fermi-level density of states (states/eV/cell) = 0.9
- SG = I4mm
- ΔH_f (0 K) (eV per atom) = -0.60

```
&SYSTEM
  ibrav = 0, nat = 3, ntyp = 3
/
ATOMIC_SPECIES
Tm 168.93 Tm.upf
Hg 200.59 Hg.upf
Au 196.97 Au.upf
ATOMIC_POSITIONS crystal
Tm 0.0000 0.0000 0.0000
Hg 0.6742 0.6742 0.0000
Au 0.3414 0.3414 0.0000
CELL_PARAMETERS angstrom
-1.8955 1.8955 4.6172
1.8955 -1.8955 4.6172
1.8955 1.8955 -4.6172
```

=====

Entry 11:
Compound: BeZn7
Source: Alexandria
Functional: PBE
Structure: optimized geometry Values from VASP.

Summary:
- Fermi-level density of states (states/eV/cell) = 2.7
- SG = Fm-3m
- ΔH_f (0 K) (eV per atom) = 0.11

```
&SYSTEM
  ibrav = 0, nat = 8, ntyp = 2
/
ATOMIC_SPECIES
Be 9.01 Be.upf
Zn 65.41 Zn.upf
ATOMIC_POSITIONS crystal
Be 0.0000 0.0000 0.0000
Zn 0.0000 0.0000 0.5000
Zn 0.0000 0.5000 0.0000
Zn 0.0000 0.5000 0.5000
Zn 0.5000 0.0000 0.0000
Zn 0.5000 0.0000 0.5000
Zn 0.5000 0.5000 0.0000
Zn 0.5000 0.5000 0.5000
CELL_PARAMETERS angstrom
0.0000 3.8376 3.8376
3.8376 0.0000 3.8376
3.8376 3.8376 0.0000
```

=====

Entry 12:
Compound: AlOsF2
Source: Alexandria
Functional: PBE
Structure: optimized geometry Values from VASP.

Summary:
- Fermi-level density of states (states/eV/cell) = 6.7
- SG = Fd-3m
- formation energy without anion corrections (eV/atom) = -0.443

```
&SYSTEM
  ibrav = 0, nat = 8, ntyp = 3
/
ATOMIC_SPECIES
Al 26.98 Al.upf
Os 190.23 Os.upf
F 19.00 F.upf
ATOMIC_POSITIONS crystal
Al 0.1250 0.1250 0.1250
Al 0.8750 0.8750 0.8750
Os 0.3750 0.3750 0.3750
Os 0.6250 0.6250 0.6250
F 0.0000 0.0000 0.0000
F 0.0000 0.0000 0.5000
F 0.0000 0.5000 0.0000
F 0.5000 0.0000 0.0000
CELL_PARAMETERS angstrom
0.0000 3.9918 3.9918
3.9918 0.0000 3.9918
3.9918 3.9918 0.0000
```

=====

Entry 13:
Compound: ZnAgAsBr2
Source: Alexandria
Functional: PBE
Structure: optimized geometry Values from VASP.

Summary:
- Fermi-level density of states (states/eV/cell) = 2.6
- SG = P4/mmm
- formation energy without anion corrections (eV/atom) = 0.278

```
&SYSTEM
  ibrav = 0, nat = 5, ntyp = 4
/
ATOMIC_SPECIES
Zn 65.41 Zn.upf
Ag 107.87 Ag.upf
As 74.92 As.upf
Br 79.90 Br.upf
ATOMIC_POSITIONS crystal
Zn 0.0000 0.0000 0.0000
Ag 0.5000 0.5000 0.5000
As 0.0000 0.0000 0.5000
Br 0.0000 0.5000 0.0000
Br 0.5000 0.0000 0.0000
CELL_PARAMETERS angstrom
5.3525 0.0000 0.0000
0.0000 5.3525 0.0000
0.0000 0.0000 4.8756
```

=====

Entry 14:
Compound: Zr3Bi
Source: Alexandria
Functional: PBE
Structure: optimized geometry Values from VASP.

Summary:
- Fermi-level density of states (states/eV/cell) = 7.4
- SG = P2_1/m
- ΔH_f (0 K) (eV per atom) = -0.22

```
&SYSTEM
  ibrav = 0, nat = 8, ntyp = 2
/
ATOMIC_SPECIES
Zr 91.22 Zr.upf
Bi 208.98 Bi.upf
ATOMIC_POSITIONS crystal
Zr 0.0587 0.2500 0.3745
Zr 0.2997 0.2500 0.8830
Zr 0.4058 0.7500 0.6149
Zr 0.5942 0.2500 0.3851
Zr 0.7003 0.7500 0.1170
Zr 0.9413 0.7500 0.6255
Bi 0.2410 0.7500 0.1620
Bi 0.7590 0.2500 0.8380
CELL_PARAMETERS angstrom
6.7090 0.0000 0.0000
0.0000 3.9708 0.0000
-2.7724 0.0000 7.2400
```

=====

Entry 15:
Compound: AlCuRu2
Source: Alexandria
Functional: PBE
Structure: optimized geometry Values from VASP.

Summary:
- Fermi-level density of states (states/eV/cell) = 3.6
- SG = F-43m
- ΔH_f (0 K) (eV per atom) = -0.06

```
&SYSTEM
  ibrav = 0, nat = 4, ntyp = 3
/
ATOMIC_SPECIES
Al 26.98 Al.upf
Cu 63.55 Cu.upf
Ru 101.07 Ru.upf
ATOMIC_POSITIONS crystal
Al 0.0000 0.0000 0.0000
Cu 0.7500 0.7500 0.7500
Ru 0.2500 0.2500 0.2500
Ru 0.5000 0.5000 0.5000
CELL_PARAMETERS angstrom
0.0000 3.0111 3.0111
3.0111 0.0000 3.0111
3.0111 3.0111 0.0000
```